Entry 1:
Material: CrSbRh2
Method: DFT, PBE-GGA
State: optimized geometry

Cell lengths 8.523, 8.523, 8.523 Å; angles 19.98, 19.98, 19.98 degrees
Fractional coordinates of all 4 atoms:
Rh 0.006 0.006 0.006
Rh 0.248 0.248 0.248
Sb 0.499 0.499 0.499
Cr 0.747 0.747 0.747

E_form (uncorrected) ... 0.28 eV/atom
Volume ... 63 Å³ per cell
Space group ... R3m, No. 160
Energy ... -6.831 eV/atom

***

Entry 2:
Material: CrSb2Rh
Method: DFT, PBE-GGA
State: optimized geometry

Cell lengths 5.180, 3.359, 4.386 Å; angles 90.00, 90.00, 90.00 degrees
Fractional coordinates of all 4 atoms:
Rh 0.500 0.875 0.770
Sb 0.500 0.375 0.272
Sb 0.000 0.875 0.978
Cr 0.000 0.375 0.480

E_form (uncorrected) ... 0.01 eV/atom
Volume ... 76 Å³ per cell
Space group ... Pmm2, No. 25
Energy ... -6.295 eV/atom

***

Entry 3:
Material: CrSbRh2
Method: DFT, PBE-GGA
State: optimized geometry

Cell lengths 4.032, 2.895, 5.493 Å; angles 74.85, 90.00, 90.00 degrees
Fractional coordinates of all 4 atoms:
Rh 0.500 0.303 0.268
Rh 0.000 0.954 0.966
Sb 0.000 0.701 0.475
Cr 0.500 0.542 0.790

E_form (uncorrected) ... 0.07 eV/atom
Volume ... 62 Å³ per cell
Space group ... Pm, No. 6
Energy ... -7.038 eV/atom

***

Entry 4:
Material: CrSbRh2
Method: DFT, PBE-GGA
State: optimized geometry

Cell lengths 4.890, 4.890, 4.890 Å; angles 132.55, 132.57, 69.35 degrees
Fractional coordinates of all 4 atoms:
Rh 0.750 0.250 0.500
Rh 0.000 0.000 0.000
Sb 0.500 0.500 0.000
Cr 0.250 0.750 0.500

E_form (uncorrected) ... -0.14 eV/atom
Volume ... 62 Å³ per cell
Space group ... I-4m2, No. 119
Energy ... -7.253 eV/atom

***

Entry 5:
Material: CrTcSbRh
Method: DFT, PBE-GGA
State: optimized geometry

Cell lengths 4.443, 4.443, 4.443 Å; angles 60.00, 60.00, 60.00 degrees
Fractional coordinates of all 4 atoms:
Cr 0.500 0.500 0.500
Sb 0.000 0.000 0.000
Tc 0.250 0.250 0.250
Rh 0.750 0.750 0.750

E_form (uncorrected) ... -0.07 eV/atom
Volume ... 62 Å³ per cell
Space group ... F-43m, No. 216
Energy ... -7.933 eV/atom

***

Entry 6:
Material: CrSbTe2Rh
Method: DFT, PBE-GGA
State: optimized geometry

Cell lengths 5.393, 5.393, 4.903 Å; angles 90.00, 90.00, 90.00 degrees
Fractional coordinates of all 5 atoms:
Te 0.500 0.000 0.000
Te 0.000 0.500 0.000
Cr 0.500 0.500 0.500
Sb 0.000 0.000 0.500
Rh 0.000 0.000 0.000

E_form (uncorrected) ... 0.56 eV/atom
Volume ... 143 Å³ per cell
Space group ... P4/mmm, No. 123
Energy ... -4.921 eV/atom
Excess energy over the best structure of this formula in the dataset ... 0.000 eV/atom

***

Entry 7:
Material: TiCrSbRh
Method: DFT, PBE-GGA
State: optimized geometry

Cell lengths 4.418, 4.418, 4.418 Å; angles 60.00, 60.00, 60.00 degrees
Fractional coordinates of all 4 atoms:
Rh 0.250 0.250 0.250
Ti 0.500 0.500 0.500
Sb 0.000 0.000 0.000
Cr 0.750 0.750 0.750

E_form (uncorrected) ... -0.30 eV/atom
Volume ... 61 Å³ per cell
Space group ... F-43m, No. 216
Energy ... -7.551 eV/atom

***

Entry 8:
Material: ZnCr2SbRh
Method: DFT, PBE-GGA
State: optimized geometry

Cell lengths 4.667, 4.575, 4.667 Å; angles 90.00, 90.00, 90.00 degrees
Fractional coordinates of all 5 atoms:
Zn 0.000 0.000 0.000
Cr 0.500 0.000 0.000
Cr 0.000 0.000 0.500
Rh 0.000 0.500 0.000
Sb 0.500 0.500 0.500

E_form (uncorrected) ... 0.83 eV/atom
Volume ... 100 Å³ per cell
Space group ... P4/mmm, No. 123
Energy ... -5.571 eV/atom

***

Entry 9:
Material: ScCrRh
Method: DFT, PBE-GGA
State: optimized geometry

Cell lengths 5.718, 5.717, 2.978 Å; angles 74.91, 74.91, 30.19 degrees
Fractional coordinates of all 3 atoms:
Cr 0.984 0.984 0.016
Rh 0.351 0.351 0.649
Sc 0.665 0.665 0.335

Volume ... 47 Å³ per cell
Space group ... I4mm, No. 107
Energy ... -7.906 eV/atom
Excess energy over the best structure of this formula in the dataset ... 0.007 eV/atom

***

Entry 10:
Material: ScCrRh
Method: DFT, PBE-GGA
State: optimized geometry

Cell lengths 4.348, 4.348, 3.066 Å; angles 90.00, 90.00, 120.00 degrees
Fractional coordinates of all 3 atoms:
Cr 0.000 0.000 0.166
Sc 0.667 0.333 0.667
Rh 0.333 0.667 0.167

Volume ... 50 Å³ per cell
Space group ... P-6m2, No. 187
Energy ... -7.913 eV/atom
Excess energy over the best structure of this formula in the dataset ... 0.000 eV/atom

***

Entry 11:
Material: ScCrRh
Method: DFT, PBE-GGA
State: optimized geometry

Cell lengths 4.347, 4.347, 4.347 Å; angles 60.00, 60.00, 60.00 degrees
Fractional coordinates of all 3 atoms:
Rh 0.500 0.500 0.500
Cr 0.000 0.000 0.000
Sc 0.750 0.750 0.750

Volume ... 58 Å³ per cell
Space group ... F-43m, No. 216
Energy ... -7.380 eV/atom
Excess energy over the best structure of this formula in the dataset ... 0.533 eV/atom

***

Entry 12:
Material: Sc3CrRh
Method: DFT, PBE-GGA
State: optimized geometry

Cell lengths 4.986, 4.986, 4.986 Å; angles 90.00, 90.00, 90.00 degrees
Fractional coordinates of all 5 atoms:
Rh 0.000 0.000 0.000
Sc 0.000 0.000 0.500
Sc 0.000 0.500 0.000
Sc 0.500 0.000 0.000
Cr 0.500 0.500 0.500

Volume ... 124 Å³ per cell
Space group ... Pm-3m, No. 221
Energy ... -7.075 eV/atom
Excess energy over the best structure of this formula in the dataset ... 0.000 eV/atom

***

Entry 13:
Material: ScCrRh
Method: DFT, PBE-GGA
State: optimized geometry

Cell lengths 4.359, 4.359, 4.359 Å; angles 60.00, 60.00, 60.00 degrees
Fractional coordinates of all 3 atoms:
Cr 0.500 0.500 0.500
Sc 0.000 0.000 0.000
Rh 0.750 0.750 0.750

Volume ... 59 Å³ per cell
Space group ... F-43m, No. 216
Energy ... -7.756 eV/atom
Excess energy over the best structure of this formula in the dataset ... 0.157 eV/atom

***

Entry 14:
Material: Sc2CrRh2
Method: DFT, PBE-GGA
State: optimized geometry

Cell lengths 6.366, 6.366, 4.256 Å; angles 90.00, 90.00, 90.00 degrees
Fractional coordinates of all 10 atoms:
Sc 0.175 0.675 0.500
Sc 0.675 0.825 0.500
Sc 0.325 0.175 0.500
Sc 0.825 0.325 0.500
Cr 0.500 0.500 0.000
Cr 0.000 0.000 0.000
Rh 0.355 0.855 0.000
Rh 0.645 0.145 0.000
Rh 0.855 0.645 0.000
Rh 0.145 0.355 0.000

Volume ... 172 Å³ per cell
Space group ... P4/mbm, No. 127
Energy ... -7.794 eV/atom

***

Entry 15:
Material: ScCrRh
Method: DFT, PBE-GGA
State: optimized geometry

Cell lengths 2.925, 2.925, 6.443 Å; angles 90.00, 90.00, 120.00 degrees
Fractional coordinates of all 3 atoms:
Rh 0.667 0.333 0.317
Cr 0.000 0.000 0.015
Sc 0.333 0.667 0.667

Volume ... 48 Å³ per cell
Space group ... P3m1, No. 156
Energy ... -7.643 eV/atom
Excess energy over the best structure of this formula in the dataset ... 0.270 eV/atom

***

Entry 16:
Material: Sc2CrRh9
Method: DFT, PBE-GGA
State: optimized geometry

Cell lengths 3.876, 3.876, 11.740 Å; angles 90.00, 90.00, 90.00 degrees
Fractional coordinates of all 12 atoms:
Rh 0.000 0.500 0.845
Rh 0.500 0.500 0.671
Rh 0.500 0.000 0.500
Rh 0.000 0.500 0.155
Rh 0.000 0.500 0.500
Rh 0.500 0.000 0.155
Rh 0.500 0.500 0.329
Rh 0.500 0.500 0.000
Rh 0.500 0.000 0.845
Sc 0.000 0.000 0.332
Sc 0.000 0.000 0.668
Cr 0.000 0.000 0.000

Volume ... 176 Å³ per cell
Space group ... P4/mmm, No. 123
Energy ... -7.816 eV/atom

***

Entry 17:
Material: ScCrRh4
Method: DFT, PBE-GGA
State: optimized geometry

Cell lengths 5.151, 5.151, 5.151 Å; angles 60.00, 60.00, 60.00 degrees
Fractional coordinates of all 6 atoms:
Rh 0.375 0.375 0.375
Rh 0.375 0.876 0.375
Rh 0.876 0.375 0.375
Rh 0.375 0.375 0.876
Sc 0.750 0.750 0.750
Cr 0.000 0.000 0.000

Volume ... 97 Å³ per cell
Space group ... F-43m, No. 216
Energy ... -7.768 eV/atom

***

Entry 18:
Material: CrRh2Se4
Method: DFT, PBE-GGA
State: optimized geometry

Cell lengths 7.294, 7.294, 10.599 Å; angles 90.00, 90.00, 90.00 degrees
Fractional coordinates of all 28 atoms:
Se 0.009 0.248 0.763
Se 0.252 0.484 0.988
Se 0.484 0.748 0.738
Se 0.748 0.484 0.012
Se 0.516 0.252 0.238
Se 0.484 0.252 0.762
Se 0.516 0.748 0.262
Se 0.752 0.009 0.013
Se 0.991 0.248 0.237
Se 0.748 0.516 0.488
Se 0.248 0.991 0.513
Se 0.252 0.516 0.512
Se 0.248 0.009 0.987
Se 0.009 0.752 0.737
Se 0.752 0.991 0.487
Se 0.991 0.752 0.263
Rh 0.746 0.746 0.875
Rh 0.254 0.746 0.125
Rh 0.254 0.254 0.375
Rh 0.746 0.254 0.625
Rh 0.755 0.500 0.250
Rh 0.500 0.755 0.500
Rh 0.500 0.245 0.000
Rh 0.245 0.500 0.750
Cr 0.000 0.248 0.000
Cr 0.248 0.000 0.750
Cr 0.000 0.752 0.500
Cr 0.752 0.000 0.250

E_form (uncorrected) ... -0.37 eV/atom
Volume ... 564 Å³ per cell
Space group ... P4_122, No. 91
Energy ... -5.834 eV/atom
Excess energy over the best structure of this formula in the dataset ... 0.030 eV/atom

***

Entry 19:
Material: CrRhSe4
Method: DFT, PBE-GGA
State: optimized geometry

Cell lengths 5.578, 5.578, 5.578 Å; angles 60.00, 60.00, 60.00 degrees
Fractional coordinates of all 6 atoms:
Se 0.375 0.876 0.375
Se 0.375 0.375 0.876
Se 0.375 0.375 0.375
Se 0.876 0.375 0.375
Rh 0.000 0.000 0.000
Cr 0.750 0.750 0.750

E_form (uncorrected) ... 0.93 eV/atom
Volume ... 123 Å³ per cell
Space group ... F-43m, No. 216
Energy ... -4.218 eV/atom
Excess energy over the best structure of this formula in the dataset ... 1.323 eV/atom

***

Entry 20:
Material: Cr2RhSe
Method: DFT, PBE-GGA
State: optimized geometry

Cell lengths 3.888, 2.784, 5.248 Å; angles 73.97, 90.00, 90.00 degrees
Fractional coordinates of all 4 atoms:
Cr 0.000 0.616 0.497
Cr 0.000 0.884 0.003
Se 0.500 0.750 0.750
Rh 0.500 0.250 0.250

E_form (uncorrected) ... 0.23 eV/atom
Volume ... 55 Å³ per cell
Space group ... P2/m, No. 10
Energy ... -7.288 eV/atom